No. 1
A plane-wave DFT calculation with PBE was carried out for a relaxed Ac8Cd2Pb crystal.

a b c (Å): 20.011 5.651 8.226
angles (deg): 90.00 109.65 90.00
Space group C2/m (No. 12)
Unique sites:
Ac (0.026, 0.000, 0.265) x4
Ac (0.093, 0.500, 0.961) x4
Ac (0.168, 0.500, 0.458) x4
Ac (0.195, 0.000, 0.801) x4
Cd (0.185, 0.000, 0.197) x4
Pb (0.000, 0.500, 0.500) x2

Summary:
total energy	-80.0	eV/cell
ΔE_f	-0.144	eV per atom

No. 2
A plane-wave DFT calculation with PBE was carried out for a relaxed Ac4Cd3Pb5 crystal.

a b c (Å): 15.099 5.308 13.878
angles (deg): 90.00 121.93 90.00
Space group C2/m (No. 12)
Unique sites:
Ac (0.082, 0.000, 0.319) x4
Ac (0.142, 0.000, 0.016) x4
Cd (0.000, 0.500, 0.500) x2
Cd (0.238, 0.000, 0.607) x4
Pb (0.000, 0.000, 0.500) x2
Pb (0.084, 0.500, 0.138) x4
Pb (0.095, 0.500, 0.812) x4

Summary:
total energy	-78.3	eV/cell
ΔE_f	-0.119	eV per atom

No. 3
A plane-wave DFT calculation with PBE was carried out for a relaxed Ac8CdPb5 crystal.

a b c (Å): 10.259 10.259 10.318
angles (deg): 90.00 90.00 90.00
Space group I-4 (No. 82)
Unique sites:
Ac (0.067, 0.320, 0.447) x8
Ac (0.074, 0.183, 0.808) x8
Cd (0.000, 0.000, 0.500) x2
Pb (0.000, 0.500, 0.750) x2
Pb (0.125, 0.248, 0.128) x8

Summary:
total energy	-117.8	eV/cell
ΔE_f	-0.469	eV per atom